1.
Density functional theory data (GGA-PBEsol) for a relaxed structure of KNa2GaHg.

Structure (extended XYZ):
```
5
Lattice="5.6449 0.0000 0.0000 0.0000 5.6449 0.0000 0.0000 0.0000 6.2763" Properties=species:S:1:pos:R:3 pbc="T T T"
Na 0.0000 2.8224 0.0000
Na 2.8224 0.0000 0.0000
K 0.0000 0.0000 3.1382
Hg 2.8224 2.8224 3.1382
Ga 0.0000 0.0000 0.0000
```

**Magnetic moment**: 0.00 μB/f.u.
**Uncorrected energy**: -1.35 eV/atom
**Symmetry**: P4/mmm

2.
Density functional theory data (GGA-PBEsol) for a relaxed structure of La2Ga2Hg.

Structure (extended XYZ):
```
10
Lattice="-0.4684 4.7026 0.2938 -0.7418 -0.5202 7.1437 7.1271 0.6607 0.7882" Properties=species:S:1:pos:R:3 pbc="T T T"
Hg 0.0000 0.0000 0.0000
Hg 3.1927 0.0703 3.9659
Ga 5.9335 0.3825 3.3381
Ga 3.8356 -0.0377 6.7189
Ga 0.4518 -0.2420 4.5938
Ga 2.5497 0.1782 1.2129
La 4.4337 2.7059 1.9128
La 5.1611 2.5477 5.6061
La 1.4832 2.1372 6.3128
La 0.7558 2.2954 2.6195
```

**Magnetic moment**: 0.00 μB/f.u.
**Uncorrected energy**: -4.17 eV/atom
**Symmetry**: P4/mbm

3.
Density functional theory data (GGA-PBEsol) for a relaxed structure of La2GaHg.

Structure (extended XYZ):
```
4
Lattice="-0.9342 -4.9862 -1.7027 2.6711 -4.1069 2.1525 -2.5441 -3.4781 3.1725" Properties=species:S:1:pos:R:3 pbc="T T T"
Hg -0.4036 -6.2856 1.8111
Ga 0.0000 0.0000 0.0000
La -0.2018 -3.1428 0.9056
La -0.6054 -9.4283 2.7167
```

**Magnetic moment**: 0.00 μB/f.u.
**Uncorrected energy**: -4.19 eV/atom
**Symmetry**: Fm-3m

> Which value of magnetic moment does entry 2 give?

0.00 μB/f.u.